# Cs2AcH GGA-PBE optimized geometry
data_Cs2AcH
_space_group_name_H-M_alt 'P 1'
_space_group_IT_number 1
_space_group_name_Hall 'P 1'
_cell_length_a 4.1527
_cell_length_b 4.1527
_cell_length_c 12.2965
_cell_angle_alpha 80.28
_cell_angle_beta 80.28
_cell_angle_gamma 60.00
loop_
_atom_site_label
_atom_site_type_symbol
_atom_site_fract_x
_atom_site_fract_y
_atom_site_fract_z
Cs1 Cs 0.8864 0.8864 0.3407
Ac1 Ac 0.0000 0.0000 0.0000
H1 H 0.5000 0.5000 0.5000
Cs2 Cs 0.1136 0.1136 0.6593
# * density: 4.553 g/cm³
# * space group: No. 166
# * electronic total energy: -2.1057 eV/atom
# * density of states at the Fermi level: 0.373 states/eV per atom
# * crystal system: trigonal